(1)
Crystalline SiMo2Br at its relaxed geometry. Source: Alexandria via LeMat-Bulk, functional PBE.

Its formation energy without anion corrections is 0.541 eV/atom. The relative energy among the computed polymorphs comes out at 403 meV per atom.

The structure belongs to space group Fm-3m (No. 225); the cell edges are 6.2693, 6.2693 and 6.2693 Å and the angles 90.00°, 90.00° and 90.00°. The distinct sites, in fractional coordinates, are Si at (0.0000, 0.0000, 0.0000), Mo at (0.2500, 0.2500, 0.2500) and Br at (0.0000, 0.0000, 0.5000).

***

(2)
Crystalline Er3TmSe4 at its relaxed geometry. Source: Alexandria via LeMat-Bulk, functional PBE.

Its formation energy without anion corrections is -1.672 eV/atom. The relative energy among the computed polymorphs comes out at 13 meV per atom.

The structure belongs to space group Pm-3m (No. 221); the cell edges are 5.7022, 5.7022 and 5.7022 Å and the angles 90.00°, 90.00° and 90.00°. The distinct sites, in fractional coordinates, are Er at (0.0000, 0.0000, 0.5000), Tm at (0.5000, 0.5000, 0.5000), Se at (0.0000, 0.0000, 0.0000) and Se at (0.0000, 0.5000, 0.5000).

***

(3)
Crystalline KCd3O3 at its relaxed geometry. Source: Alexandria via LeMat-Bulk, functional PBE.

Its formation energy without anion corrections is -0.906 eV/atom.

The structure belongs to space group R-3 (No. 148, hexagonal axes); the cell edges are 6.4140, 6.4140 and 22.8785 Å and the angles 90.00°, 90.00° and 120.00°. The distinct sites, in fractional coordinates, are K at (0.0000, 0.0000, 0.1669), Cd at (0.0007, 0.3134, 0.6172) and O at (0.0010, 0.6489, 0.5896).

***

(4)
Crystalline Tb2Pm2YHo at its relaxed geometry. Source: Alexandria via LeMat-Bulk, functional PBE.

The structure belongs to space group Pmma (No. 51); the cell edges are 7.0349, 5.6558 and 9.8052 Å and the angles 90.00°, 90.00° and 90.00°. The distinct sites, in fractional coordinates, are Tb at (0.2500, 0.0000, 0.1626), Tb at (0.2500, 0.5000, 0.6700), Pm at (0.0000, 0.5000, 0.0000), Pm at (0.2500, 0.0000, 0.8253), Y at (0.0000, 0.0000, 0.5000) and Ho at (0.2500, 0.5000, 0.3401).

***

(5)
Crystalline CdSn2As at its relaxed geometry. Source: Alexandria via LeMat-Bulk, functional PBE.

The relative energy among the computed polymorphs comes out at 44 meV per atom.

The structure belongs to space group Cm (No. 8); the cell edges are 11.7329, 5.6850 and 3.0764 Å and the angles 90.00°, 99.60° and 90.00°. The distinct sites, in fractional coordinates, are Cd at (0.0000, 0.0000, 0.0000), Sn at (0.2511, 0.5000, 0.5147), Sn at (0.4803, 0.0000, 0.4923) and As at (0.2386, 0.0000, 0.3437).

***

(6)
Crystalline Cd2CuPd4 at its relaxed geometry. Source: Alexandria via LeMat-Bulk, functional PBE.

The relative energy among the computed polymorphs comes out at 7 meV per atom.

The structure belongs to space group I4/mmm (No. 139); the cell edges are 5.5818, 5.5818 and 7.9262 Å and the angles 90.00°, 90.00° and 90.00°. The distinct sites, in fractional coordinates, are Cd at (0.0000, 0.5000, 0.0000), Cu at (0.0000, 0.0000, 0.0000) and Pd at (0.2500, 0.2500, 0.2500).

***

(7)
Crystalline K2SbP at its relaxed geometry. Source: Alexandria via LeMat-Bulk, functional PBE.

Its formation energy without anion corrections is -0.037 eV/atom. The relative energy among the computed polymorphs comes out at 308 meV per atom.

The structure belongs to space group Cmmm (No. 65); the cell edges are 6.2530, 10.5354 and 3.3598 Å and the angles 90.00°, 90.00° and 90.00°. The distinct sites, in fractional coordinates, are K at (0.2500, 0.2500, 0.0000), Sb at (0.0000, 0.0000, 0.5000) and P at (0.0000, 0.5000, 0.5000).

***

(8)
Crystalline TbNd8Er5 at its relaxed geometry. Source: Alexandria via LeMat-Bulk, functional PBE.

The structure belongs to space group I-4 (No. 82); the cell edges are 9.6784, 9.6784 and 10.3084 Å and the angles 90.00°, 90.00° and 90.00°. The distinct sites, in fractional coordinates, are Tb at (0.0000, 0.0000, 0.0000), Nd at (0.0685, 0.8274, 0.3459), Nd at (0.0896, 0.6780, 0.0029), Er at (0.0000, 0.5000, 0.2500) and Er at (0.1089, 0.7035, 0.6766).

***

E_tot
In order: -6.649; -5.685; -3.580; -4.907; -3.334; -3.956; -2.969; -4.435
Unit: eV/atom